[1]
A plane-wave DFT calculation with PBE-GGA was carried out for crystalline Li2ZrBiS4 at its relaxed geometry.

total energy: -5.152 eV/atom
DOS at the Fermi energy: 3.20 states/eV/cell

Lattice parameters (Å, degrees): 6.6473 3.7357 6.8268 90.00 109.78 90.00
With the nearest neighbours (Å) after each atom.
Element x y z (fractional)
Li  0.0000  0.0000  0.0000  6 S 2.72-2.88
Li  0.0000  0.5000  0.5000  6 S 2.59-2.72
Zr  0.5000  0.0000  0.5000  6 S 2.64-2.67
Bi  0.5000  0.5000  0.0000  6 S 2.79-2.80
S  0.2412  0.0000  0.7209  3 Li 2.59-2.88, 1 Zr 2.64, 2 Bi 2.80
S  0.2514  0.5000  0.2569  2 Zr 2.67, 3 Li 2.72, 1 Bi 2.79
S  0.7486  0.5000  0.7431  2 Zr 2.67, 3 Li 2.72, 1 Bi 2.79
S  0.7588  0.0000  0.2791  3 Li 2.59-2.88, 1 Zr 2.64, 2 Bi 2.80

[2]
A plane-wave DFT calculation with PBE-GGA was carried out for crystalline LuPuPb at its relaxed geometry.

DOS at the Fermi energy: 6.77 states/eV/cell
ΔE_f: -0.0623 eV per atom
E above lowest polymorph: 0 meV/atom

Lattice parameters (Å, degrees): 5.3021 5.3021 3.5294 90.00 90.00 120.00
With the nearest neighbours (Å) after each atom.
Element x y z (fractional)
Lu  0.0000  0.0000  0.0000  3 Pb 3.10, 3 Pu 3.46
Pu  0.3333  0.6667  0.4570  6 Pb 3.38-3.71, 6 Lu 3.46-3.61, 2 Pu 3.53
Pb  0.6667  0.3333  0.8613  3 Lu 3.10, 3 Pu 3.38

[3]
A plane-wave DFT calculation with PBE-GGA was carried out for crystalline BeB3Br at its relaxed geometry.

DOS at the Fermi energy: 2.02 states/eV/cell
E above lowest polymorph: 1063 meV/atom

Lattice parameters (Å, degrees): 4.0936 4.0936 4.0936 90.00 90.00 90.00
With the nearest neighbours (Å) after each atom.
Element x y z (fractional)
Be  0.0000  0.0000  0.0000  12 B 2.89
B  0.0000  0.5000  0.5000  2 Br 2.05
B  0.5000  0.0000  0.5000  2 Br 2.05
B  0.5000  0.5000  0.0000  2 Br 2.05
Br  0.5000  0.5000  0.5000  6 B 2.05

[4]
A plane-wave DFT calculation with PBE-GGA was carried out for crystalline YCuP2Cl at its relaxed geometry.

DOS at the Fermi energy: 3.08 states/eV/cell
E above lowest polymorph: 640 meV/atom

Lattice parameters (Å, degrees): 5.3729 5.3729 5.1480 90.00 90.00 90.00
With the nearest neighbours (Å) after each atom.
Element x y z (fractional)
Y  0.0000  0.0000  0.0000  2 Cl 2.57, 4 P 2.69
Cu  0.5000  0.5000  0.5000  8 P 3.72, 4 Cl 3.80
P  0.0000  0.5000  0.0000  2 Y 2.69
P  0.5000  0.0000  0.0000  2 Y 2.69
Cl  0.0000  0.0000  0.5000  2 Y 2.57

> The lowest DOS at the Fermi energy belongs to which entry?

BeB3Br

> Which of these has the highest DOS at the Fermi energy?

LuPuPb